No. 1
PBE-GGA Cs3YSc2S6, relaxed; total moment = 0.00 μB per atom; raw formation energy = -20.71 eV per formula unit
1.0
-4.0013 2.6856 -4.9108
-2.2872 -0.3728 6.4784
5.1341 6.4769 0.9666
Cs S Y Sc
3 6 1 2
direct
0.5000 0.5000 0.5000
0.1649 0.8351 0.5000
0.8351 0.1649 0.5000
0.0588 0.4048 0.1764
0.2874 0.2874 0.8245
0.7126 0.7126 0.1755
0.5952 0.9412 0.8236
0.4048 0.0588 0.1764
0.9412 0.5952 0.8236
0.0000 0.0000 0.0000
0.3333 0.6667 0.0000
0.6667 0.3333 0.0000

=====

No. 2
PBE-GGA Ac2Pm5Sm, relaxed; total moment = 0.00 μB per atom; energy relative to the elements = 0.03 eV/atom
1.0
5.2809 0.0000 0.0000
0.0000 7.4507 0.0000
0.0000 0.0000 14.9017
Pm Ac Sm
10 4 2
direct
0.5000 0.7505 0.1249
0.0000 0.4995 0.7502
0.0000 0.5005 0.2498
0.5000 0.2495 0.8751
0.0000 0.0005 0.2502
0.0000 0.5000 0.5000
0.0000 0.0000 0.0000
0.0000 0.9995 0.7498
0.5000 0.2505 0.3751
0.5000 0.7495 0.6249
0.5000 0.2495 0.6248
0.5000 0.7495 0.8752
0.5000 0.2505 0.1248
0.5000 0.7505 0.3752
0.0000 0.5000 0.0000
0.0000 0.0000 0.5000

=====

No. 3
PBE-GGA CePr10Ho6, relaxed; total moment = 0.04 μB per atom; energy relative to the elements = 0.15 eV/atom
1.0
6.9643 0.0000 0.0000
0.0000 8.5708 -4.9484
0.0000 0.0000 9.8967
Ho Pr Ce
6 10 1
direct
0.6868 0.0000 0.6320
0.3132 0.3680 0.0000
0.6868 0.6320 0.0000
0.3132 0.0000 0.3680
0.6868 0.3680 0.3680
0.3132 0.6320 0.6320
0.5000 0.6667 0.3333
0.0000 0.3333 0.6667
0.0000 0.6667 0.3333
0.1827 0.7250 0.0000
0.5000 0.3333 0.6667
0.8173 0.2750 0.0000
0.1827 0.2750 0.2750
0.8173 0.0000 0.2750
0.1827 0.0000 0.7250
0.8173 0.7250 0.7250
0.5000 0.0000 0.0000

=====

No. 4
PBE-GGA KHfGa, relaxed; total moment = 0.00 μB per atom; energy relative to the elements = 0.07 eV/atom; excess energy over the best structure of this formula in the dataset = 0.437 eV/f.u.
1.0
-1.3702 2.8451 -0.5777
-0.5380 -1.0116 -3.7058
-12.5403 -5.5650 3.3397
Ga Hf K
2 2 2
direct
0.7542 0.5000 0.9984
0.7664 0.5000 0.2054
0.2724 0.0000 0.3062
0.2597 0.0000 0.0947
0.2448 0.0000 0.8255
0.7843 0.5000 0.5215

=====

No. 5
PBE-GGA Be2RuBr, relaxed; total moment = 0.00 μB per atom; excess energy over the best structure of this formula in the dataset = 0.117 eV/f.u.; raw formation energy = 0.58 eV per formula unit
1.0
3.7951 -0.0024 -0.0076
2.4802 2.8726 -0.0076
0.3808 0.1742 5.6648
Ru Be Br
1 2 1
direct
0.2580 0.2580 0.1378
0.6717 0.6717 0.8716
0.9690 0.9690 0.9946
0.6013 0.6013 0.4960

=====

No. 6
PBE-GGA Ta2FeRu4, relaxed; total moment = 0.46 μB per atom; energy relative to the elements = 0.11 eV/atom
1.0
4.9533 -0.1187 -1.8156
-2.5032 4.3447 -1.6440
-0.0684 0.1187 5.2751
Ru Ta Fe
4 2 1
direct
0.5000 0.5000 0.5000
0.0000 0.5000 0.0000
0.5000 0.0000 0.0000
0.0000 0.0000 0.5000
0.5000 0.0000 0.5000
0.5000 0.5000 0.0000
0.0000 0.0000 0.0000